P:
Compound: KAsOsSe2
Source: Alexandria
Functional: PBE-GGA
Structure: relaxed Values from VASP.

Geometry as Quantum ESPRESSO input:
```
&SYSTEM
  ibrav = 0, nat = 5, ntyp = 4
/
ATOMIC_SPECIES
Se 78.96 Se.upf
As 74.92 As.upf
K 39.10 K.upf
Os 190.23 Os.upf
ATOMIC_POSITIONS angstrom
Se -2.0684 -0.6096 -1.4713
Se -0.8856 2.4447 0.2321
As -1.1888 -0.6135 1.9254
K -4.1428 1.2216 0.6863
Os 0.0000 0.0000 0.0000
CELL_PARAMETERS angstrom
-1.7712 4.8893 0.4642
-4.1368 -1.2192 -2.9425
-2.3775 -1.2269 3.8508
```

Q:
Compound: KAsOsSe2
Source: Alexandria
Functional: PBE-GGA
Structure: relaxed Values from VASP.

Geometry as Quantum ESPRESSO input:
```
&SYSTEM
  ibrav = 0, nat = 5, ntyp = 4
/
ATOMIC_SPECIES
Se 78.96 Se.upf
Os 190.23 Os.upf
As 74.92 As.upf
K 39.10 K.upf
ATOMIC_POSITIONS angstrom
Se -1.3648 -1.5959 -1.5965
Se -0.5339 -1.5845 2.0403
Os 0.2232 -4.5143 -0.0369
As 2.1220 -1.3339 -0.4806
K 0.0000 0.0000 0.0000
CELL_PARAMETERS angstrom
-1.0679 -3.1690 4.0806
-2.7296 -3.1918 -3.1931
4.2439 -2.6678 -0.9612
```

Which is most stable, and by how much? P, by 2339 meV/atom.

P:
Compound: K2AsP
Source: Alexandria
Functional: PBE-GGA
Structure: relaxed Values from VASP.

Geometry as Quantum ESPRESSO input:
```
&SYSTEM
  ibrav = 0, nat = 4, ntyp = 3
/
ATOMIC_SPECIES
K 39.10 K.upf
As 74.92 As.upf
P 30.97 P.upf
ATOMIC_POSITIONS angstrom
K -1.9305 -0.1665 -3.9962
K 0.0000 0.0000 0.0000
As -2.6887 -1.8269 -1.0929
P -1.6365 2.4330 -1.7786
CELL_PARAMETERS angstrom
-0.8783 4.0934 -4.6819
-2.9827 -4.4264 -3.3105
-2.3947 0.7725 1.1246
```

Q:
Compound: K2AsP
Source: Alexandria
Functional: PBE-GGA
Structure: relaxed Values from VASP.

Geometry as Quantum ESPRESSO input:
```
&SYSTEM
  ibrav = 0, nat = 4, ntyp = 3
/
ATOMIC_SPECIES
As 74.92 As.upf
P 30.97 P.upf
K 39.10 K.upf
ATOMIC_POSITIONS angstrom
As -16.8608 -12.7739 -4.6140
P -9.6168 -7.2857 -2.6317
K -4.4129 -3.3433 -1.2076
K -0.9010 -0.6826 -0.2466
CELL_PARAMETERS angstrom
-7.0383 -4.5081 -4.3670
-5.6787 -7.4207 -1.2723
-8.4773 -4.1282 -0.1606
```

R:
Compound: K2AsP
Source: Alexandria
Functional: PBE-GGA
Structure: relaxed Values from VASP.

Geometry as Quantum ESPRESSO input:
```
&SYSTEM
  ibrav = 0, nat = 4, ntyp = 3
/
ATOMIC_SPECIES
As 74.92 As.upf
K 39.10 K.upf
P 30.97 P.upf
ATOMIC_POSITIONS angstrom
As 2.1294 1.6505 1.8067
K 2.1278 4.9865 0.1656
K 4.2588 4.1467 3.4019
P 6.3875 6.6950 2.9008
CELL_PARAMETERS angstrom
4.2600 0.0024 0.0004
2.1278 5.7088 0.1325
2.1293 2.1354 5.2954
```

S:
Compound: K2AsP
Source: Alexandria
Functional: PBE-GGA
Structure: relaxed Values from VASP.

Geometry as Quantum ESPRESSO input:
```
&SYSTEM
  ibrav = 0, nat = 8, ntyp = 3
/
ATOMIC_SPECIES
As 74.92 As.upf
K 39.10 K.upf
P 30.97 P.upf
ATOMIC_POSITIONS angstrom
As 0.0000 0.0000 0.0000
As -0.6619 6.5905 -12.2226
K 0.6792 5.8547 -19.0604
K -0.3406 3.3457 -6.1469
K 2.0226 0.2427 -10.9600
K 1.5849 0.9160 -15.4317
P 2.6350 -1.4109 -13.5769
P 1.3909 1.9973 -8.4144
CELL_PARAMETERS angstrom
-1.9060 9.9986 -7.0601
4.6878 -6.0041 -9.7686
-0.8088 1.1851 -8.9708
```

Which is most stable, and by how much? R, by 152 meV/atom.

P:
Compound: K2AsP
Source: Alexandria
Functional: PBE-GGA
Structure: relaxed Values from VASP.

Geometry as Quantum ESPRESSO input:
```
&SYSTEM
  ibrav = 0, nat = 4, ntyp = 3
/
ATOMIC_SPECIES
K 39.10 K.upf
P 30.97 P.upf
As 74.92 As.upf
ATOMIC_POSITIONS angstrom
K 1.1362 -2.4192 -1.9675
K 0.0000 0.0000 0.0000
P -2.0838 -2.9448 -2.5759
As -1.1406 -3.0576 0.6041
CELL_PARAMETERS angstrom
-4.3605 -3.5832 -0.0042
0.1930 -2.3065 -5.1475
4.1631 0.4129 3.7883
```

Q:
Compound: K2AsP
Source: Alexandria
Functional: PBE-GGA
Structure: relaxed Values from VASP.

Geometry as Quantum ESPRESSO input:
```
&SYSTEM
  ibrav = 0, nat = 4, ntyp = 3
/
ATOMIC_SPECIES
P 30.97 P.upf
K 39.10 K.upf
As 74.92 As.upf
ATOMIC_POSITIONS angstrom
P -2.0818 -2.3507 1.1875
K -8.8246 -4.5151 -2.4539
K -4.4126 -2.2577 -1.2270
As -1.1158 -2.6560 -1.7249
CELL_PARAMETERS angstrom
-5.3784 -1.9523 1.6854
-3.4463 -2.5629 -4.1393
5.6272 -0.4915 1.9165
```

R:
Compound: K2AsP
Source: Alexandria
Functional: PBE-GGA
Structure: relaxed Values from VASP.

Geometry as Quantum ESPRESSO input:
```
&SYSTEM
  ibrav = 0, nat = 4, ntyp = 3
/
ATOMIC_SPECIES
As 74.92 As.upf
K 39.10 K.upf
P 30.97 P.upf
ATOMIC_POSITIONS angstrom
As 1.8031 1.7909 6.5745
K 0.0000 0.0000 8.9700
K 1.8031 1.7909 3.4371
P 0.0000 0.0000 5.8046
CELL_PARAMETERS angstrom
3.5938 -0.0120 0.0000
0.0124 3.5938 0.0000
0.0000 0.0000 9.9145
```

Which is most stable, and by how much? R, by 102 meV/atom.

P:
Compound: KAsPb3
Source: Alexandria
Functional: PBE-GGA
Structure: relaxed Values from VASP.

Geometry as Quantum ESPRESSO input:
```
&SYSTEM
  ibrav = 0, nat = 5, ntyp = 3
/
ATOMIC_SPECIES
Pb 207.20 Pb.upf
K 39.10 K.upf
As 74.92 As.upf
ATOMIC_POSITIONS angstrom
Pb 0.0000 0.0000 2.9421
Pb 2.9421 0.0000 0.0000
Pb 0.0000 2.9421 0.0000
K 0.0000 0.0000 0.0000
As 2.9421 2.9421 2.9421
CELL_PARAMETERS angstrom
5.8843 0.0000 0.0000
0.0000 5.8843 0.0000
0.0000 0.0000 5.8843
```

Q:
Compound: KAsPb3
Source: Alexandria
Functional: PBE-GGA
Structure: relaxed Values from VASP.

Geometry as Quantum ESPRESSO input:
```
&SYSTEM
  ibrav = 0, nat = 5, ntyp = 3
/
ATOMIC_SPECIES
As 74.92 As.upf
Pb 207.20 Pb.upf
K 39.10 K.upf
ATOMIC_POSITIONS angstrom
As 0.0000 0.0000 0.0000
Pb 0.0000 0.0000 2.8806
Pb 0.0000 2.8806 0.0000
Pb 2.8806 0.0000 0.0000
K 2.8806 2.8806 2.8806
CELL_PARAMETERS angstrom
5.7611 0.0000 0.0000
0.0000 5.7611 0.0000
0.0000 0.0000 5.7611
```

Which is most stable, and by how much? Q, by 1023 meV/atom.

P:
Compound: KAsPbSe2
Source: Alexandria
Functional: PBE-GGA
Structure: relaxed Values from VASP.

Geometry as Quantum ESPRESSO input:
```
&SYSTEM
  ibrav = 0, nat = 5, ntyp = 4
/
ATOMIC_SPECIES
K 39.10 K.upf
Se 78.96 Se.upf
Pb 207.20 Pb.upf
As 74.92 As.upf
ATOMIC_POSITIONS angstrom
K 0.0000 0.0000 0.0000
Se 2.8052 0.0000 0.0000
Se 0.0000 2.8052 0.0000
Pb 2.8052 2.8052 2.6600
As 0.0000 0.0000 2.6600
CELL_PARAMETERS angstrom
5.6105 0.0000 0.0000
0.0000 5.6105 0.0000
0.0000 0.0000 5.3199
```

Q:
Compound: KAsPbSe2
Source: Alexandria
Functional: PBE-GGA
Structure: relaxed Values from VASP.

Geometry as Quantum ESPRESSO input:
```
&SYSTEM
  ibrav = 0, nat = 5, ntyp = 4
/
ATOMIC_SPECIES
Se 78.96 Se.upf
Pb 207.20 Pb.upf
K 39.10 K.upf
As 74.92 As.upf
ATOMIC_POSITIONS angstrom
Se -1.6503 -2.2956 -0.0744
Se -2.1023 1.4728 1.1873
Pb 0.0000 0.0000 0.0000
K -2.8546 -1.5490 3.6039
As 0.8980 -0.7263 2.4910
CELL_PARAMETERS angstrom
-4.2046 2.9457 2.3746
-3.3005 -4.5912 -0.1488
1.7960 -1.4525 4.9820
```

Which is most stable, and by how much? Q, by 734 meV/atom.

P:
Compound: KAs3Pd3
Source: Alexandria
Functional: PBE-GGA
Structure: relaxed Values from VASP.

Geometry as Quantum ESPRESSO input:
```
&SYSTEM
  ibrav = 0, nat = 14, ntyp = 3
/
ATOMIC_SPECIES
Pd 106.42 Pd.upf
As 74.92 As.upf
K 39.10 K.upf
ATOMIC_POSITIONS angstrom
Pd 5.9397 6.1689 4.8650
Pd 6.0098 2.0595 4.8650
Pd 9.5336 4.1749 4.8650
Pd 8.3824 2.0999 3.0876
Pd 4.7885 4.0940 3.0876
Pd 8.3123 6.2094 3.0876
As 4.7499 4.0751 5.5492
As 8.3153 6.2522 5.5492
As 9.5722 4.1937 2.4034
As 8.4180 2.0759 5.5492
As 6.0068 2.0166 2.4034
As 5.9041 6.1929 2.4034
K 3.5805 2.0672 0.0072
K 10.7416 6.2016 7.9454
CELL_PARAMETERS angstrom
7.1611 0.0000 0.0000
3.5805 6.2016 0.0000
3.5805 2.0672 7.9526
```

Q:
Compound: KAs3Pd3
Source: Alexandria
Functional: PBE-GGA
Structure: relaxed Values from VASP.

Geometry as Quantum ESPRESSO input:
```
&SYSTEM
  ibrav = 0, nat = 14, ntyp = 3
/
ATOMIC_SPECIES
Pd 106.42 Pd.upf
As 74.92 As.upf
K 39.10 K.upf
ATOMIC_POSITIONS angstrom
Pd -3.6311 -1.0403 0.9163
Pd -0.4429 1.1497 6.1449
Pd -3.9761 -3.5250 3.3231
Pd -5.2533 2.7261 2.0615
Pd -0.3776 -1.2733 3.6528
Pd -1.7946 2.5240 2.3485
As -2.0743 -2.3837 2.2632
As -0.2378 1.1806 3.6955
As -3.4913 1.4136 0.9590
As -0.5827 -1.3041 6.1023
As -3.5566 3.8365 3.4510
As -5.5329 -2.1816 1.9762
K -3.8689 0.1403 4.6118
K 0.0000 0.0000 0.0000
CELL_PARAMETERS angstrom
-0.1306 4.8459 4.9842
-6.9173 0.4042 -0.5742
-0.6899 -4.9695 4.8136
```

Which is most stable, and by how much? P, by 74 meV/atom.

P:
Compound: K2AsPd2
Source: Alexandria
Functional: PBE-GGA
Structure: relaxed Values from VASP.

Geometry as Quantum ESPRESSO input:
```
&SYSTEM
  ibrav = 0, nat = 10, ntyp = 3
/
ATOMIC_SPECIES
Pd 106.42 Pd.upf
As 74.92 As.upf
K 39.10 K.upf
ATOMIC_POSITIONS angstrom
Pd -3.1687 6.5853 6.0274
Pd -1.6424 -0.8383 1.5872
Pd -6.6732 9.6168 11.1566
Pd -5.4680 4.2245 4.3285
As -4.1578 4.3892 6.3719
As -2.9525 -1.0031 -0.4562
K -6.5108 10.6433 7.8490
K -6.6047 6.5869 6.4907
K -2.4469 2.1976 0.1188
K -2.0320 4.2229 3.8651
CELL_PARAMETERS angstrom
-3.2736 1.0281 -2.8443
-2.6314 -3.0344 1.9318
-2.7316 12.8160 11.2683
```

Q:
Compound: K2AsPd2
Source: Alexandria
Functional: PBE-GGA
Structure: relaxed Values from VASP.

Geometry as Quantum ESPRESSO input:
```
&SYSTEM
  ibrav = 0, nat = 10, ntyp = 3
/
ATOMIC_SPECIES
Pd 106.42 Pd.upf
K 39.10 K.upf
As 74.92 As.upf
ATOMIC_POSITIONS angstrom
Pd -1.9464 -0.9900 3.8463
Pd -4.8777 -2.9637 4.1681
Pd -4.9993 -3.3578 0.6437
Pd -2.0680 -1.3841 0.3219
K -3.9176 -5.7427 2.9625
K -2.2625 -4.8674 0.0704
K -1.5993 -3.9956 4.8179
K 0.0557 -3.1203 1.9259
As -3.4729 -2.1739 2.2450
As 0.0000 0.0000 0.0000
CELL_PARAMETERS angstrom
-1.7819 -0.6587 6.3280
-5.1638 -3.6891 -1.8381
3.0839 -4.5152 0.3984
```

Which is most stable, and by how much? Q, by 64 meV/atom.

P:
Compound: KAs2Pd
Source: Alexandria
Functional: PBE-GGA
Structure: relaxed Values from VASP.

Geometry as Quantum ESPRESSO input:
```
&SYSTEM
  ibrav = 0, nat = 4, ntyp = 3
/
ATOMIC_SPECIES
Pd 106.42 Pd.upf
K 39.10 K.upf
As 74.92 As.upf
ATOMIC_POSITIONS angstrom
Pd 4.0547 2.3410 4.1688
K 0.0000 0.0000 0.0000
As 6.0820 3.5115 3.1692
As 2.0273 1.1705 5.1683
CELL_PARAMETERS angstrom
4.0547 0.0000 0.0000
2.0273 3.5115 0.0000
2.0273 1.1705 8.3376
```

Q:
Compound: KAs2Pd
Source: Alexandria
Functional: PBE-GGA
Structure: relaxed Values from VASP.

Geometry as Quantum ESPRESSO input:
```
&SYSTEM
  ibrav = 0, nat = 4, ntyp = 3
/
ATOMIC_SPECIES
K 39.10 K.upf
As 74.92 As.upf
Pd 106.42 Pd.upf
ATOMIC_POSITIONS angstrom
K 1.7948 1.7948 3.5194
As 0.0000 0.0000 5.8601
As 0.0000 0.0000 1.1787
Pd 1.7948 1.7948 0.0000
CELL_PARAMETERS angstrom
3.5896 0.0000 0.0000
0.0000 3.5896 0.0000
0.0000 0.0000 7.0388
```

R:
Compound: KAs2Pd
Source: Alexandria
Functional: PBE-GGA
Structure: relaxed Values from VASP.

Geometry as Quantum ESPRESSO input:
```
&SYSTEM
  ibrav = 0, nat = 4, ntyp = 3
/
ATOMIC_SPECIES
Pd 106.42 Pd.upf
K 39.10 K.upf
As 74.92 As.upf
ATOMIC_POSITIONS angstrom
Pd -0.3711 -0.8491 1.9143
K -3.9537 -2.1325 0.6506
As -6.1115 -1.9088 -2.0313
As -1.0538 -0.6579 -0.4961
CELL_PARAMETERS angstrom
-1.1744 -3.5086 -1.7840
-0.7421 -1.6983 3.8286
-5.9909 0.9419 -0.7435
```

Which is most stable, and by how much? R, by 187 meV/atom.